Entry 1:
An optimized crystal structure of PuHgH2. Source: Alexandria, functional PBE.

It has space group R-3m (No. 166, hexagonal axes), with a = 3.7416 Å, b = 3.7416 Å, c = 15.2142 Å, α = 90.00°, β = 90.00° and γ = 120.00°. The inequivalent atoms are Pu at (0.0000, 0.0000, 0.0000), Hg at (0.0000, 0.0000, 0.5000) and H at (0.0000, 0.0000, 0.2986).

The energy is -5.528 eV/atom. For the total magnetic moment, the calculation gives 16.9 μB per cell.



Entry 2:
An optimized crystal structure of BiB2Pd2. Source: Alexandria, functional PBE.

It has space group I4/mmm (No. 139), with a = 3.181 Å, b = 3.181 Å, c = 14.941 Å, α = 90.00°, β = 90.00° and γ = 90.00°. The inequivalent atoms are Bi at (0.000, 0.000, 0.000), B at (0.000, 0.500, 0.250) and Pd at (0.000, 0.000, 0.347).

The energy is -5.404 eV/atom. For the total magnetic moment, the calculation gives 0.0 μB per cell.



Entry 3:
An optimized crystal structure of BaBi2F8. Source: Alexandria, functional PBE.

It has space group C2/m (No. 12), with a = 7.260 Å, b = 10.915 Å, c = 4.436 Å, α = 90.00°, β = 100.31° and γ = 90.00°. The inequivalent atoms are Ba at (0.000, 0.000, 0.000), Bi at (0.000, 0.323, 0.500), F at (0.000, 0.253, 0.000), F at (0.116, 0.500, 0.786) and F at (0.186, 0.137, 0.565).

The energy is -5.115 eV/atom. For the total magnetic moment, the calculation gives 0.0 μB per cell. As for the uncorrected formation energy: -2.873 eV/atom.



Entry 4:
An optimized crystal structure of Pm2TePb. Source: Alexandria, functional PBE.

It has space group C2/m (No. 12), with a = 14.294 Å, b = 6.374 Å, c = 6.373 Å, α = 90.00°, β = 116.40° and γ = 90.00°. The inequivalent atoms are Pm at (0.124, 0.000, 0.374), Pm at (0.126, 0.500, 0.876), Te at (0.125, 0.500, 0.375) and Pb at (0.125, 0.000, 0.875).

The energy is -5.126 eV/atom. For the total magnetic moment, the calculation gives 0.0 μB per cell. As for the uncorrected formation energy: -1.038 eV/atom. The calculation puts the excess energy over the best structure of this formula in the dataset at 0 meV/atom.



Entry 5:
An optimized crystal structure of ThScZnCo. Source: Alexandria, functional PBE.

It has space group F-43m (No. 216), with a = 6.860 Å, b = 6.860 Å, c = 6.860 Å, α = 90.00°, β = 90.00° and γ = 90.00°. The inequivalent atoms are Th at (0.000, 0.000, 0.000), Sc at (0.000, 0.000, 0.500), Zn at (0.250, 0.250, 0.250) and Co at (0.250, 0.250, 0.750).

The energy is -5.703 eV/atom. For the total magnetic moment, the calculation gives 1.1 μB per cell.



Entry 6:
An optimized crystal structure of CoGe2W. Source: Alexandria, functional PBE.

It has space group I-42d (No. 122), with a = 6.603 Å, b = 6.603 Å, c = 5.615 Å, α = 90.00°, β = 90.00° and γ = 90.00°. The inequivalent atoms are Co at (0.000, 0.000, 0.000), Ge at (0.213, 0.750, 0.125) and W at (0.000, 0.000, 0.500).

The energy is -6.775 eV/atom. For the total magnetic moment, the calculation gives 0.0 μB per cell. The calculation puts the excess energy over the best structure of this formula in the dataset at 280 meV/atom.



Entry 7:
An optimized crystal structure of CsMnAgAs2. Source: Alexandria, functional PBE.

It has space group Cmme (No. 67), with a = 5.691 Å, b = 15.473 Å, c = 6.087 Å, α = 90.00°, β = 90.00° and γ = 90.00°. The inequivalent atoms are Cs at (0.000, 0.250, 0.218), Mn at (0.250, 0.000, 0.500), Ag at (0.000, 0.000, 0.000) and As at (0.000, 0.102, 0.670).

The energy is -4.623 eV/atom. For the total magnetic moment, the calculation gives 7.7 μB per cell.



Entry 8:
An optimized crystal structure of TcAsCl2. Source: Alexandria, functional PBE.

It has space group R3m (No. 160, hexagonal axes), with a = 3.2849 Å, b = 3.2849 Å, c = 26.5581 Å, α = 90.00°, β = 90.00° and γ = 120.00°. The inequivalent atoms are Tc at (0.0000, 0.0000, 0.0000), As at (0.0000, 0.0000, 0.7269), Cl at (0.0000, 0.0000, 0.2678) and Cl at (0.0000, 0.0000, 0.4662).

The energy is -4.755 eV/atom. For the total magnetic moment, the calculation gives 0.0 μB per cell. As for the uncorrected formation energy: -0.078 eV/atom. The calculation puts the excess energy over the best structure of this formula in the dataset at 137 meV/atom.



Entry 9:
An optimized crystal structure of TaMo2Se. Source: Alexandria, functional PBE.

It has space group P4/mmm (No. 123), with a = 3.191 Å, b = 3.191 Å, c = 6.502 Å, α = 90.00°, β = 90.00° and γ = 90.00°. The inequivalent atoms are Ta at (0.000, 0.000, 0.000), Mo at (0.500, 0.500, 0.253) and Se at (0.000, 0.000, 0.500).

The energy is -9.144 eV/atom. For the total magnetic moment, the calculation gives 0.0 μB per cell. As for the uncorrected formation energy: 0.106 eV/atom.



Entry 10:
An optimized crystal structure of CoCl. Source: Alexandria, functional PBE.

It has space group Cm (No. 8), with a = 6.105 Å, b = 3.525 Å, c = 7.532 Å, α = 90.00°, β = 104.45° and γ = 90.00°. The inequivalent atoms are Co at (0.000, 0.000, 0.000), Co at (0.119, 0.500, 0.845), Cl at (0.390, 0.000, 0.184) and Cl at (0.399, 0.500, 0.671).

The energy is -4.581 eV/atom. For the total magnetic moment, the calculation gives 8.0 μB per cell. As for the uncorrected formation energy: -0.105 eV/atom.



Entry 11:
An optimized crystal structure of LiRhAu2. Source: Alexandria, functional PBE.

It has space group Cm (No. 8), with a = 9.581 Å, b = 2.824 Å, c = 4.799 Å, α = 90.00°, β = 100.00° and γ = 90.00°. The inequivalent atoms are Li at (0.000, 0.000, 0.000), Rh at (0.252, 0.000, 0.712), Au at (0.007, 0.500, 0.518) and Au at (0.250, 0.500, 0.206).

The energy is -4.129 eV/atom. For the total magnetic moment, the calculation gives 0.7 μB per cell.



Entry 12:
An optimized crystal structure of Er2In2Rh3. Source: Alexandria, functional PBE.

It has space group C2/m (No. 12), with a = 8.182 Å, b = 4.711 Å, c = 7.847 Å, α = 90.00°, β = 110.32° and γ = 90.00°. The inequivalent atoms are Er at (0.117, 0.000, 0.352), In at (0.128, 0.500, 0.885), Rh at (0.000, 0.500, 0.500) and Rh at (0.248, 0.000, 0.744).

The energy is -5.952 eV/atom. For the total magnetic moment, the calculation gives 0.0 μB per cell.